Material: CsHSO4
Method: DFT, SCAN
State: PBEsol geometry

Lattice parameters (Å, degrees): 7.5907 7.6398 8.1286 90.00 90.00 106.13
Fractional positions:
Cs 0.2104 0.6896 0.3739
O 0.1041 0.6335 0.7514
S 0.7471 0.2785 0.1366
O 0.3432 0.0742 0.5706
O 0.4036 0.8556 0.7742
O 0.8060 0.7003 0.5095
Cs 0.7896 0.3104 0.6261
H 0.6374 0.0164 0.3351
O 0.8060 0.2003 0.9905
Cs 0.7896 0.8104 0.8739
O 0.8959 0.8665 0.2514
O 0.5964 0.6444 0.2742
O 0.6568 0.4258 0.0706
S 0.2529 0.7215 0.8634
O 0.3432 0.5742 0.9294
O 0.1940 0.7997 0.0095
O 0.6568 0.9258 0.4294
H 0.3626 0.4836 0.8351
S 0.7471 0.7785 0.3634
O 0.1940 0.2997 0.4905
H 0.3626 0.9836 0.6649
O 0.1041 0.1335 0.7486
O 0.5964 0.1444 0.2258
Cs 0.2104 0.1896 0.1261
S 0.2529 0.2215 0.6366
O 0.4036 0.3556 0.7258
H 0.6374 0.5164 0.1649
O 0.8959 0.3665 0.2486

## Properties
offset from the most stable computed form	0	meV per atom
space group	No. 14
calculated total energy	-12.576	eV per atom
density of states at the Fermi level	0.000	states/eV per atom

Material: CsHSO4
Method: DFT, SCAN
State: PBEsol geometry

Lattice parameters (Å, degrees): 5.4931 5.7884 7.2020 90.00 101.30 90.00
Fractional positions:
Cs 0.9861 0.7500 0.2858
S 0.5562 0.7500 0.7610
O 0.2961 0.2500 0.3852
O 0.6316 0.5389 0.8875
H 0.5000 0.0000 0.0000
H 0.5000 0.5000 0.0000
O 0.6316 0.9611 0.8875
O 0.7125 0.2500 0.3048
O 0.3684 0.0389 0.1125
Cs 0.0139 0.2500 0.7142
O 0.7039 0.7500 0.6148
S 0.4438 0.2500 0.2390
O 0.3684 0.4611 0.1125
O 0.2875 0.7500 0.6952

## Properties
offset from the most stable computed form	4	meV per atom
space group	No. 11
calculated total energy	-12.572	eV per atom
density of states at the Fermi level	0.000	states/eV per atom

Material: CsHSO3
Method: DFT, SCAN
State: PBEsol geometry

Lattice parameters (Å, degrees): 4.6380 4.6380 4.6380 84.67 84.67 84.67
Fractional positions:
S 0.4405 0.4405 0.4405
O 0.5253 0.5253 0.1332
O 0.1332 0.5253 0.5253
Cs 0.9911 0.9911 0.9911
H 0.5962 0.5962 0.5962
O 0.5253 0.1332 0.5253

## Properties
space group	No. 160
calculated total energy	-13.214	eV per atom
density of states at the Fermi level	0.000	states/eV per atom

Material: Cs2ZnH12S2O14
Method: DFT, SCAN
State: PBEsol geometry

Lattice parameters (Å, degrees): 6.3301 9.1578 12.6433 90.00 90.00 106.25
Fractional positions:
S 0.2595 0.1045 0.3541
O 0.2921 0.4955 0.4352
O 0.6013 0.7643 0.5835
H 0.9196 0.2159 0.5958
O 0.9911 0.6766 0.3905
H 0.9196 0.7159 0.9042
H 0.9821 0.3443 0.6855
H 0.6767 0.2911 0.4003
S 0.7405 0.8955 0.6459
Cs 0.3520 0.6305 0.8546
O 0.7965 0.0316 0.5768
O 0.0555 0.6414 0.1823
Cs 0.6480 0.3695 0.1454
H 0.3079 0.5252 0.3583
O 0.9445 0.3586 0.8177
O 0.2035 0.4684 0.0768
O 0.0555 0.1414 0.3177
O 0.8359 0.8408 0.1153
H 0.3233 0.2089 0.9003
H 0.6767 0.7911 0.0997
H 0.0873 0.2379 0.8684
O 0.3987 0.7357 0.0835
H 0.0179 0.6557 0.3145
O 0.8359 0.3408 0.3847
H 0.6700 0.6037 0.5623
O 0.6123 0.9202 0.7391
H 0.3079 0.0252 0.1417
O 0.9445 0.8586 0.6823
O 0.3877 0.0798 0.2609
H 0.3300 0.8963 0.0623
O 0.3877 0.5798 0.2391
H 0.6921 0.9748 0.8583
Cs 0.6480 0.8695 0.3546
O 0.0089 0.3234 0.6095
H 0.0873 0.7379 0.6316
O 0.7965 0.5316 0.9232
Cs 0.3520 0.1305 0.6454
H 0.0804 0.7841 0.4042
H 0.9127 0.2621 0.3684
Zn 0.0000 0.0000 0.0000
H 0.3233 0.7089 0.5997
H 0.0179 0.1557 0.1855
O 0.6013 0.2643 0.9165
O 0.3987 0.2357 0.4165
O 0.7079 0.5045 0.5648
O 0.6123 0.4202 0.7609
S 0.7405 0.3955 0.8541
O 0.2035 0.9684 0.4232
O 0.2921 0.9955 0.0648
O 0.1641 0.1592 0.8847
O 0.1641 0.6592 0.6153
O 0.0089 0.8234 0.8905
Zn 0.0000 0.5000 0.5000
H 0.0804 0.2841 0.0958
H 0.3300 0.3963 0.4377
O 0.7079 0.0045 0.9352
S 0.2595 0.6045 0.1459
O 0.9911 0.1766 0.1095
H 0.6700 0.1037 0.9377
H 0.9127 0.7621 0.1316
H 0.9821 0.8443 0.8145
H 0.6921 0.4748 0.6417

## Properties
space group	No. 14
calculated total energy	-9.078	eV per atom
density of states at the Fermi level	0.000	states/eV per atom

Material: CsSbH4O5
Method: DFT, SCAN
State: PBEsol geometry

Lattice parameters (Å, degrees): 6.5851 6.5670 7.3343 86.41 69.82 65.19
Fractional positions:
Sb 0.5451 0.6227 0.1397
H 0.2669 0.4910 0.5950
O 0.3108 0.6841 0.0037
O 0.3755 0.9256 0.2804
O 0.6892 0.3159 0.9963
H 0.7331 0.5090 0.4050
H 0.3388 0.0511 0.1912
H 0.7053 0.5744 0.7026
H 0.2947 0.4256 0.2974
O 0.3408 0.5158 0.3657
Sb 0.4549 0.3773 0.8603
O 0.6245 0.0744 0.7196
H 0.9245 0.6207 0.8583
O 0.7464 0.7233 0.9114
O 0.7954 0.5279 0.2598
O 0.2536 0.2767 0.0886
Cs 0.8337 0.9887 0.2885
O 0.6592 0.4842 0.6343
H 0.6612 0.9489 0.8088
O 0.2046 0.4721 0.7402
Cs 0.1663 0.0113 0.7115
H 0.0755 0.3793 0.1417

## Properties
space group	No. 2
calculated total energy	-12.319	eV per atom
density of states at the Fermi level	0.000	states/eV per atom

Material: CsHSeO3
Method: DFT, SCAN
State: PBEsol geometry

Lattice parameters (Å, degrees): 5.9498 5.9195 13.4323 90.00 90.00 90.00
Fractional positions:
O 0.3574 0.5063 0.0969
H 0.0236 0.0088 0.6559
O 0.1426 0.0063 0.5969
O 0.0692 0.1723 0.1510
H 0.4764 0.5088 0.1559
O 0.3409 0.0229 0.7724
H 0.5236 0.0088 0.8441
Se 0.5835 0.4551 0.3477
O 0.8409 0.0229 0.7276
O 0.4308 0.6723 0.6510
Cs 0.5778 0.0041 0.1309
O 0.6591 0.5229 0.2276
O 0.9308 0.6723 0.8490
Cs 0.9222 0.5041 0.6309
H 0.9764 0.5088 0.3441
O 0.5692 0.1723 0.3490
Cs 0.4222 0.5041 0.8691
Se 0.0835 0.4551 0.1523
O 0.6426 0.0063 0.9031
Cs 0.0778 0.0041 0.3691
O 0.8574 0.5063 0.4031
O 0.1591 0.5229 0.2724
Se 0.4165 0.9551 0.6523
Se 0.9165 0.9551 0.8477

## Properties
space group	No. 33
calculated total energy	-14.649	eV per atom
density of states at the Fermi level	0.000	states/eV per atom

Material: Cs3HSe2O8
Method: DFT, SCAN
State: PBEsol geometry

Lattice parameters (Å, degrees): 6.3899 8.6283 10.8665 101.97 90.00 111.73
Fractional positions:
Cs 0.9118 0.3800 0.1520
O 0.8286 0.6865 0.0982
Se 0.6678 0.7672 0.0347
O 0.3138 0.7505 0.6074
Se 0.0994 0.7672 0.5347
Se 0.9006 0.2328 0.4653
Se 0.3322 0.2328 0.9653
H 0.0000 0.0000 0.5000
O 0.1421 0.3135 0.4018
O 0.4366 0.7505 0.1074
O 0.8445 0.0170 0.4468
O 0.8579 0.6865 0.5982
Cs 0.2489 0.0000 0.2500
O 0.1714 0.3135 0.9018
O 0.8275 0.9830 0.0532
O 0.6862 0.2495 0.3926
O 0.9253 0.3115 0.6198
O 0.3862 0.3115 0.1198
Cs 0.0882 0.6200 0.8480
Cs 0.5319 0.6200 0.3480
Cs 0.7511 0.0000 0.7500
O 0.1555 0.9830 0.5532
O 0.6138 0.6885 0.8802
H 0.0000 0.0000 0.0000
O 0.1725 0.0170 0.9468
Cs 0.4681 0.3800 0.6520
O 0.0747 0.6885 0.3802
O 0.5634 0.2495 0.8926

## Properties
offset from the most stable computed form	2	meV per atom
space group	No. 15
calculated total energy	-16.191	eV per atom
density of states at the Fermi level	0.000	states/eV per atom

Material: CsH3Se2O6
Method: DFT, SCAN
State: PBEsol geometry

Lattice parameters (Å, degrees): 5.7521 6.4359 9.2762 92.13 105.64 91.55
Fractional positions:
O 0.7252 0.7382 0.8457
O 0.2822 0.2603 0.1541
Se 0.4025 0.7471 0.7801
O 0.4578 0.3963 0.5955
O 0.2830 0.0093 0.4958
Se 0.8273 0.7597 0.4719
O 0.6435 0.0243 0.1341
O 0.0776 0.3445 0.3554
H 0.7976 0.7055 0.7539
O 0.3668 0.9693 0.8738
H 0.4718 0.0080 0.5022
O 0.5517 0.6112 0.4001
H 0.2100 0.2927 0.2462
H 0.4806 0.5076 0.9801
Cs 0.1159 0.7607 0.1574
H 0.5257 0.0040 0.0229
O 0.9316 0.6570 0.6435
Cs 0.8843 0.2348 0.8374
Se 0.1874 0.2625 0.5328
O 0.6695 0.4339 0.0958
H 0.5128 0.5192 0.4868
O 0.7236 0.9949 0.5105
O 0.3292 0.5579 0.8948
Se 0.6057 0.2684 0.2179

## Properties
space group	No. 1
calculated total energy	-11.619	eV per atom
density of states at the Fermi level	0.000	states/eV per atom

Material: Cs3HSe2O8
Method: DFT, SCAN
State: PBEsol geometry

Lattice parameters (Å, degrees): 6.3101 8.4625 10.9020 112.73 90.00 90.00
Fractional positions:
O 0.7500 0.2638 0.5376
Se 0.7500 0.7630 0.8216
Cs 0.7500 0.3923 0.0526
Se 0.2500 0.7646 0.3209
O 0.5321 0.6899 0.7336
O 0.2500 0.2593 0.0350
O 0.5327 0.3139 0.7682
Cs 0.2500 0.3870 0.5515
O 0.7500 0.9833 0.8600
O 0.7500 0.0205 0.6457
O 0.4673 0.6861 0.2318
O 0.2500 0.9795 0.3543
Cs 0.2500 0.0009 0.7450
O 0.4679 0.3101 0.2664
O 0.0321 0.3101 0.2664
Cs 0.2500 0.6077 0.9474
O 0.2500 0.0167 0.1400
H 0.7500 0.0005 0.7629
O 0.9679 0.6899 0.7336
Cs 0.7500 0.6130 0.4485
Se 0.7500 0.2354 0.6791
H 0.2500 0.9995 0.2371
O 0.7500 0.7407 0.9650
Cs 0.7500 0.9991 0.2550
Se 0.2500 0.2370 0.1784
O 0.9673 0.3139 0.7682
O 0.0327 0.6861 0.2318
O 0.2500 0.7362 0.4624

## Properties
offset from the most stable computed form	0	meV per atom
space group	No. 11
calculated total energy	-16.194	eV per atom
density of states at the Fermi level	0.000	states/eV per atom

Material: Cs3HSe2O8
Method: DFT, SCAN
State: PBEsol geometry

Lattice parameters (Å, degrees): 6.2954 6.2954 8.4343 70.66 70.66 60.20
Fractional positions:
O 0.3942 0.3942 0.9812
Cs 0.0000 0.0000 0.0000
H 0.5000 0.5000 0.0000
O 0.2993 0.7343 0.6874
Cs 0.1982 0.1982 0.3900
O 0.7007 0.2657 0.3126
O 0.7343 0.2993 0.6874
Cs 0.8018 0.8018 0.6100
O 0.2855 0.2855 0.7389
Se 0.5715 0.5715 0.2364
O 0.2657 0.7007 0.3126
O 0.6058 0.6058 0.0188
O 0.7145 0.7145 0.2611
Se 0.4285 0.4285 0.7636

## Properties
offset from the most stable computed form	2	meV per atom
space group	No. 12
calculated total energy	-16.192	eV per atom
density of states at the Fermi level	0.000	states/eV per atom

Material: Cs2ZnH12Se2O14
Method: DFT, SCAN
State: PBEsol geometry

Lattice parameters (Å, degrees): 6.4626 9.3554 12.8469 90.00 90.00 105.48
Fractional positions:
O 0.7118 0.0047 0.9376
H 0.6826 0.2975 0.4053
Zn 0.0000 0.5000 0.5000
H 0.0097 0.1529 0.1827
Zn 0.0000 0.0000 0.0000
H 0.9088 0.7648 0.1297
Se 0.7401 0.8978 0.6436
O 0.7956 0.5470 0.9322
O 0.2044 0.9530 0.4322
O 0.0137 0.3268 0.6076
Cs 0.6528 0.8657 0.3501
H 0.3308 0.9000 0.0581
H 0.3174 0.7025 0.5947
H 0.3308 0.4000 0.4419
O 0.2882 0.4953 0.4376
O 0.9863 0.6732 0.3924
O 0.2044 0.4530 0.0678
O 0.9650 0.8589 0.6850
H 0.6692 0.1000 0.9419
H 0.3110 0.0255 0.1375
O 0.7956 0.0470 0.5678
H 0.6890 0.9745 0.8625
O 0.1632 0.1560 0.8874
O 0.4039 0.5770 0.2459
O 0.0350 0.1411 0.3150
O 0.0350 0.6411 0.1850
H 0.9903 0.3471 0.6827
O 0.5961 0.9230 0.7459
H 0.6890 0.4745 0.6375
O 0.1632 0.6560 0.6126
O 0.5909 0.7559 0.5742
O 0.9650 0.3589 0.8150
H 0.0775 0.2763 0.0935
O 0.4091 0.2441 0.4258
Cs 0.3472 0.1343 0.6499
O 0.0137 0.8268 0.8924
H 0.9903 0.8471 0.8173
H 0.9088 0.2648 0.3703
H 0.0912 0.7352 0.6297
H 0.9225 0.2237 0.5935
O 0.5961 0.4230 0.7541
H 0.0097 0.6529 0.3173
O 0.2882 0.9953 0.0624
H 0.0912 0.2352 0.8703
O 0.9863 0.1732 0.1076
O 0.8368 0.8440 0.1126
O 0.4039 0.0770 0.2541
O 0.8368 0.3440 0.3874
H 0.6692 0.6000 0.5581
Se 0.2599 0.6022 0.1436
Se 0.7401 0.3978 0.8564
H 0.6826 0.7975 0.0947
O 0.5909 0.2559 0.9258
H 0.3110 0.5255 0.3625
Cs 0.3472 0.6343 0.8501
Se 0.2599 0.1022 0.3564
H 0.9225 0.7237 0.9065
H 0.0775 0.7763 0.4065
H 0.3174 0.2025 0.9053
O 0.7118 0.5047 0.5624
Cs 0.6528 0.3657 0.1499
O 0.4091 0.7441 0.0742

## Properties
space group	No. 14
calculated total energy	-9.515	eV per atom
density of states at the Fermi level	0.000	states/eV per atom

Material: Cs2SiH2O4
Method: DFT, SCAN
State: PBEsol geometry

Lattice parameters (Å, degrees): 6.2723 6.3088 8.2974 75.14 70.27 80.09
Fractional positions:
H 0.1117 0.2844 0.4303
O 0.1204 0.3384 0.3009
O 0.2136 0.7226 0.0624
O 0.1307 0.2872 0.6246
O 0.3106 0.6239 0.3728
Si 0.8770 0.3837 0.7323
O 0.7864 0.2774 0.9376
Cs 0.7153 0.7726 0.0432
O 0.6894 0.3761 0.6272
H 0.2617 0.5010 0.4825
H 0.7383 0.4990 0.5175
O 0.8796 0.6616 0.6991
O 0.8693 0.7128 0.3754
Cs 0.3237 0.8056 0.6802
Cs 0.2847 0.2274 0.9568
Cs 0.6763 0.1944 0.3198
H 0.8883 0.7156 0.5697
Si 0.1230 0.6163 0.2677

## Properties
space group	No. 2
calculated total energy	-15.074	eV per atom
density of states at the Fermi level	0.000	states/eV per atom